1.
Here is CaScTc2 after structural relaxation from the Alexandria database. Energies are from PBE.

```
4
Lattice="-2.9641 0.3658 0.9505 -1.0172 -0.9173 -2.8190 -0.1393 -8.1494 2.7022" Properties=species:S:1:pos:R:3 pbc="T T T"
Ca -0.0625 -3.6588 1.2132
Tc -2.0172 -1.8329 -0.4180
Tc -0.0050 -0.2926 0.0970
Sc -2.1054 -6.9915 1.2925
```

The calculation puts the total magnetic moment at 0.00 μB/f.u. The energy above the most stable polymorph in this dataset is 0.000 eV per atom. As for the symmetry: P4mm. The value obtained for the total energy is -7.20 eV per atom. The density of states at the Fermi level is 3.835 states/eV/f.u. The calculation puts the formation energy from the elements at 0.07 eV per atom.

---

2.
Here is CaScTc2 after structural relaxation from the Alexandria database. Energies are from PBE.

```
4
Lattice="-0.2545 -5.1960 -0.2819 3.0699 -3.8677 -1.6611 2.6111 -2.2013 4.1737" Properties=species:S:1:pos:R:3 pbc="T T T"
Sc 1.3566 -2.8162 0.5577
Tc 2.4000 -5.3682 0.6149
Tc 0.3132 -0.2643 0.5005
Ca 4.0699 -8.4487 1.6730
```

The calculation puts the total magnetic moment at 0.00 μB/f.u. The energy above the most stable polymorph in this dataset is 0.272 eV per atom. As for the symmetry: C2/m. The value obtained for the total energy is -6.92 eV per atom. The density of states at the Fermi level is 3.032 states/eV/f.u. The calculation puts the formation energy from the elements at 0.34 eV per atom.

---

3.
Here is CaSc2Tc after structural relaxation from the Alexandria database. Energies are from PBE.

```
4
Lattice="-2.4824 -1.6510 -2.0185 0.8625 -3.1498 1.5156 -5.1297 1.1703 5.3516" Properties=species:S:1:pos:R:3 pbc="T T T"
Sc -0.3391 0.0774 0.3538
Sc -2.3494 -2.0492 1.3546
Tc -2.1835 0.4982 2.2779
Ca -4.4425 -1.5717 3.5381
```

The calculation puts the total magnetic moment at 0.00 μB/f.u. The energy above the most stable polymorph in this dataset is 0.190 eV per atom. As for the symmetry: P4mm. The value obtained for the total energy is -6.16 eV per atom. The density of states at the Fermi level is 4.468 states/eV/f.u. The calculation puts the formation energy from the elements at 0.10 eV per atom.

---

4.
Here is CaSc2Tc after structural relaxation from the Alexandria database. Energies are from PBE.

```
4
Lattice="5.2751 0.0023 0.0029 3.9241 3.5253 0.0029 2.7536 1.0559 5.4220" Properties=species:S:1:pos:R:3 pbc="T T T"
Ca 2.5175 0.9654 1.3890
Sc 2.6480 1.0154 5.0743
Sc 9.1670 3.5152 3.4725
Tc 6.3505 2.4352 3.6282
```

The calculation puts the total magnetic moment at 0.00 μB/f.u. The energy above the most stable polymorph in this dataset is 0.239 eV per atom. As for the symmetry: Cm. The value obtained for the total energy is -6.11 eV per atom. The density of states at the Fermi level is 3.028 states/eV/f.u. The calculation puts the formation energy from the elements at 0.15 eV per atom.